Here is Nd3S2Br5 after structural relaxation from OQMD via LeMat-Bulk. Energies are from PBE.

Values from the calculation:
Crystal system: orthorhombic
Total DFT energy (no corrections) (eV per cell): -201.068

Geometry as extended XYZ:
```
40
Lattice="7.258 0.000 0.000 0.000 22.721 0.000 0.000 0.000 6.922" Properties=species:S:1:pos:R:3 pbc="T T T"
Nd 0.341 5.680 0.391
Nd 0.869 2.357 3.083
Nd 0.869 9.004 3.083
Nd 2.760 13.717 6.544
Nd 2.760 20.364 6.544
Nd 3.288 17.041 3.852
Nd 3.970 5.680 3.070
Nd 4.499 2.357 0.378
Nd 4.499 9.004 0.378
Nd 6.389 13.717 3.839
Nd 6.389 20.364 3.839
Nd 6.917 17.041 6.531
S 1.206 15.325 4.831
S 1.206 18.756 4.831
S 2.423 3.964 1.370
S 2.423 7.396 1.370
S 4.835 15.325 5.553
S 4.835 18.756 5.553
S 6.052 3.964 2.092
S 6.052 7.396 2.092
Br 0.150 14.082 1.045
Br 0.150 20.000 1.045
Br 1.234 5.680 4.399
Br 1.298 11.837 4.609
Br 1.298 22.244 4.609
Br 2.331 0.477 1.148
Br 2.331 10.884 1.148
Br 2.396 17.041 0.938
Br 3.479 2.721 4.506
Br 3.479 8.639 4.506
Br 3.779 14.082 2.416
Br 3.779 20.000 2.416
Br 4.863 5.680 5.984
Br 4.927 11.837 5.774
Br 4.927 22.244 5.774
Br 5.960 0.477 2.313
Br 5.960 10.884 2.313
Br 6.025 17.041 2.523
Br 7.108 2.721 5.877
Br 7.108 8.639 5.877
```